1.
# SCAN LiTcW, single point on PBEsol structure
data_LiTcW
_chemical_formula_sum 'Li1 Tc1 W1'
_cell_length_a 2.704
_cell_length_b 2.704
_cell_length_c 7.117
_cell_angle_alpha 90.00
_cell_angle_beta 90.00
_cell_angle_gamma 120.00
_symmetry_space_group_name_H-M 'P 1'
_symmetry_Int_Tables_number 1
loop_
_symmetry_equiv_pos_as_xyz
'x,y,z'
loop_
_atom_site_label
_atom_site_fract_x
_atom_site_fract_y
_atom_site_fract_z
Li1 0.000 0.000 0.994
Tc1 0.667 0.333 0.661
W1 0.333 0.667 0.345
# * DFT formation energy: 0.40 eV/atom
# * SG: P3m1, No. 156
# * energy relative to the lowest polymorph listed for this composition: 112 meV/atom

=====

2.
# SCAN LiTcW2, single point on PBEsol structure
data_LiTcW2
_chemical_formula_sum 'Li1 Tc1 W2'
_cell_length_a 4.314
_cell_length_b 4.314
_cell_length_c 4.314
_cell_angle_alpha 60.00
_cell_angle_beta 60.00
_cell_angle_gamma 60.00
_symmetry_space_group_name_H-M 'P 1'
_symmetry_Int_Tables_number 1
loop_
_symmetry_equiv_pos_as_xyz
'x,y,z'
loop_
_atom_site_label
_atom_site_fract_x
_atom_site_fract_y
_atom_site_fract_z
Li1 0.500 0.500 0.500
Tc1 0.000 0.000 0.000
W1 0.750 0.750 0.750
W2 0.250 0.250 0.250
# * DFT formation energy: 0.39 eV/atom
# * SG: Fm-3m, No. 225
# * energy relative to the lowest polymorph listed for this composition: 19 meV/atom

=====

3.
# SCAN LiTcW2, single point on PBEsol structure
data_LiTcW2
_chemical_formula_sum 'Li1 Tc1 W2'
_cell_length_a 2.590
_cell_length_b 4.261
_cell_length_c 5.299
_cell_angle_alpha 90.00
_cell_angle_beta 90.00
_cell_angle_gamma 90.00
_symmetry_space_group_name_H-M 'P 1'
_symmetry_Int_Tables_number 1
loop_
_symmetry_equiv_pos_as_xyz
'x,y,z'
loop_
_atom_site_label
_atom_site_fract_x
_atom_site_fract_y
_atom_site_fract_z
Li1 0.500 0.500 0.000
Tc1 0.500 0.500 0.500
W1 0.000 0.000 0.751
W2 0.000 0.000 0.249
# * DFT formation energy: 0.44 eV/atom
# * SG: Pmmm, No. 47
# * energy relative to the lowest polymorph listed for this composition: 62 meV/atom

=====

4.
# SCAN LiYTc2, single point on PBEsol structure
data_LiYTc2
_chemical_formula_sum 'Li1 Y1 Tc2'
_cell_length_a 4.495
_cell_length_b 4.495
_cell_length_c 4.495
_cell_angle_alpha 60.00
_cell_angle_beta 60.00
_cell_angle_gamma 60.00
_symmetry_space_group_name_H-M 'P 1'
_symmetry_Int_Tables_number 1
loop_
_symmetry_equiv_pos_as_xyz
'x,y,z'
loop_
_atom_site_label
_atom_site_fract_x
_atom_site_fract_y
_atom_site_fract_z
Li1 0.500 0.500 0.500
Tc1 0.000 0.000 0.000
Tc2 0.250 0.250 0.250
Y1 0.750 0.750 0.750
# * DFT formation energy: 0.14 eV/atom
# * SG: F-43m, No. 216
# * energy relative to the lowest polymorph listed for this composition: 0 meV/atom